Compound: Pm5Pr12Dy
Source: the Alexandria database
Functional: PBE
Structure: optimized geometry

Unit cell a=12.196 b=17.485 c=5.974 alpha=90.00 beta=90.00 gamma=90.00
Space group C2/m (No. 12)
Inequivalent atoms, fractional coordinates:
Pm 0.000 0.000 0.000 x2
Pm 0.000 0.137 0.500 x4
Pm 0.000 0.364 0.000 x4
Pr 0.152 0.179 0.991 x8
Pr 0.152 0.322 0.509 x8
Pr 0.197 0.500 0.944 x4
Pr 0.201 0.000 0.557 x4
Dy 0.000 0.500 0.500 x2

## Properties
Total DFT energy (no corrections) in eV per atom: -4.687
E_form in meV/atom: 74
V in A^3/atom: 35.38

Compound: PrFe2PN
Source: the Alexandria database
Functional: PBE
Structure: optimized geometry

Unit cell a=3.721 b=10.557 c=6.788 alpha=90.00 beta=90.00 gamma=90.00
Space group Cmcm (No. 63)
Inequivalent atoms, fractional coordinates:
Pr 0.000 0.049 0.250 x4
Fe 0.000 0.334 0.055 x8
P 0.000 0.228 0.750 x4
N 0.000 0.500 0.000 x4

## Properties
Total DFT energy (no corrections) in eV per atom: -7.917
Formation energy without anion corrections in eV/f.u.: -4.14
V in A^3/atom: 13.33